The following is a DFT calculation (PBE with a Hubbard U) of an optimized crystal structure of Na3PuNi2O6.

a = 5.448 Å, b = 5.448 Å, c = 5.773 Å
α = 98.85°, β = 98.85°, γ = 120.12°
Last column: magnetic moment on the atom in μB.
Element x y z (fractional)
Na 0.175 0.825 0.500  0.00
Na 0.825 0.175 0.500  0.00
Na 0.500 0.500 0.500  0.00
Pu 0.000 0.000 0.000  -3.35
Ni 0.333 0.667 0.000  1.74
Ni 0.667 0.333 0.000  1.74
O 0.930 0.597 0.790  0.13
O 0.737 0.737 0.211  0.14
O 0.070 0.403 0.210  0.13
O 0.597 0.930 0.790  0.13
O 0.263 0.263 0.789  0.14
O 0.403 0.070 0.210  0.13

Computed properties:
Crystal system ... monoclinic
Total magnetization ... 1.0 μB/cell
Uncorrected energy ... -74.97 eV/cell